[1]
The following is a DFT calculation (GGA-PBE) of a relaxed structure of CaPaAgPd.

Space-group type = F-43m, No. 216
Size of the total moment = 0.862 Bohr magnetons per cell
Final energy = -5.00 eV per atom

extended XYZ file:
```
4
Lattice="5.071 0.000 0.000 2.535 4.391 0.000 2.535 1.464 4.140" Properties=species:S:1:pos:R:3 pbc="T T T"
Pd 7.606 4.391 3.105
Ca 0.000 0.000 0.000
Ag 2.535 1.464 1.035
Pa 5.071 2.928 2.070
```

[2]
The following is a DFT calculation (GGA-PBE) of a relaxed structure of CaPaAgPt.

Space-group type = F-43m, No. 216
Size of the total moment = 0.804 Bohr magnetons per cell
Final energy = -5.43 eV per atom

extended XYZ file:
```
4
Lattice="5.046 0.000 0.000 2.523 4.370 0.000 2.523 1.457 4.120" Properties=species:S:1:pos:R:3 pbc="T T T"
Ag 0.000 0.000 0.000
Ca 7.569 4.370 3.090
Pt 5.046 2.913 2.060
Pa 2.523 1.457 1.030
```

[3]
The following is a DFT calculation (GGA-PBE) of a relaxed structure of CaPaAgSe4.

Space-group type = Imma, No. 74
Size of the total moment = 0.185 Bohr magnetons per cell
Final energy = -5.25 eV per atom
Formation energy (no corrections) = -1.21 eV/atom

extended XYZ file:
```
14
Lattice="-3.190 5.618 -6.999 2.663 -7.441 -0.705 -6.874 2.157 4.863" Properties=species:S:1:pos:R:3 pbc="T T T"
Ca -2.024 -0.951 -6.322
Se -3.241 0.814 -4.351
Pa -1.595 2.809 -3.500
Ag -3.700 0.167 -1.420
Se -6.339 3.081 1.326
Se -1.062 -2.747 -4.167
Se -6.155 1.728 -2.289
Ca -5.377 1.285 3.482
Se 0.142 -4.867 -1.525
Se -1.246 -1.395 -0.552
Se -4.160 -0.480 1.510
Pa -5.032 3.887 -1.068
Se -7.543 5.201 -1.315
Ag -2.106 -2.642 2.079
```

[4]
The following is a DFT calculation (GGA-PBE) of a relaxed structure of CaPaAgSn.

Space-group type = F-43m, No. 216
Size of the total moment = 1.480 Bohr magnetons per cell
Final energy = -4.66 eV per atom

extended XYZ file:
```
4
Lattice="-4.469 -1.457 2.436 -0.021 -4.231 3.183 -0.488 0.628 5.235" Properties=species:S:1:pos:R:3 pbc="T T T"
Ag 0.000 0.000 0.000
Ca -1.245 -1.265 2.714
Pa -3.734 -3.795 8.141
Sn -2.489 -2.530 5.427
```

[5]
The following is a DFT calculation (GGA-PBE) of a relaxed structure of CaAgPb.

Space-group type = Cmcm, No. 63
Size of the total moment = 0.000 Bohr magnetons per cell
Final energy = -3.18 eV per atom

extended XYZ file:
```
6
Lattice="-4.547 -0.195 -1.387 1.148 -3.509 -3.271 1.089 -4.535 5.247" Properties=species:S:1:pos:R:3 pbc="T T T"
Pb -2.234 -1.950 -0.551
Ag -2.015 -5.071 -0.845
Pb -0.077 -6.288 1.141
Ag -0.295 -3.167 1.435
Ca -2.934 -4.676 2.128
Ca 0.624 -3.562 -1.538
```

[6]
The following is a DFT calculation (GGA-PBE) of a relaxed structure of Ca4AgPb.

Space-group type = C2/c, No. 15
Size of the total moment = 0.001 Bohr magnetons per cell
Final energy = -2.76 eV per atom
Distance to the lowest polymorph of the same formula = 0 meV/atom

extended XYZ file:
```
12
Lattice="6.398 -0.138 0.000 -1.818 8.694 0.000 -2.290 -4.278 7.227" Properties=species:S:1:pos:R:3 pbc="T T T"
Ca -0.989 1.765 6.278
Pb 0.690 4.313 1.952
Ag -2.509 4.382 7.195
Ca 0.032 1.061 2.554
Ca -0.877 5.408 4.674
Ca 2.258 3.217 4.674
Ag 4.798 -0.104 0.033
Ca 3.278 2.513 0.949
Ca -2.210 -1.696 6.278
Ca 4.500 5.974 0.949
Ca 3.167 -1.130 2.554
Pb 1.599 -0.035 5.276
```

[7]
The following is a DFT calculation (GGA-PBE) of a relaxed structure of Ca6Ag2Pb.

Space-group type = Immm, No. 71
Size of the total moment = 0.000 Bohr magnetons per cell
Final energy = -2.71 eV per atom

extended XYZ file:
```
18
Lattice="-2.068 -3.629 -8.048 7.673 -3.250 3.574 -6.457 -2.011 6.040" Properties=species:S:1:pos:R:3 pbc="T T T"
Ca 0.020 -2.973 -1.629
Ag -5.542 -3.666 -1.306
Ca -0.776 -5.106 6.880
Ca -0.076 -3.784 -5.314
Ca 2.056 -3.770 1.861
Ca -1.401 -2.400 1.935
Ca 2.468 -5.550 5.114
Ca 0.550 -6.490 -0.369
Ag 2.959 -4.114 -1.004
Ca -3.319 -3.340 -3.547
Ag -3.810 -4.776 2.570
Ca -3.315 -2.919 5.146
Ca -2.908 -5.120 -0.295
Pb 0.608 -2.631 4.807
Ca -0.871 -5.918 3.196
Pb 0.000 0.000 0.000
Ag -2.983 -1.973 -0.703
Ca 2.463 -5.972 -3.580
```

[8]
The following is a DFT calculation (GGA-PBE) of a relaxed structure of CaAg3Pb.

Space-group type = Pm-3m, No. 221
Size of the total moment = 0.000 Bohr magnetons per cell
Final energy = -2.17 eV per atom
Distance to the lowest polymorph of the same formula = 837 meV/atom

extended XYZ file:
```
5
Lattice="-3.761 0.558 -3.800 -2.297 -4.589 1.600 -3.078 2.744 3.449" Properties=species:S:1:pos:R:3 pbc="T T T"
Ag -1.881 0.279 -1.900
Pb -4.568 -0.644 0.624
Ca 0.000 0.000 0.000
Ag -1.149 -2.295 0.800
Ag -1.539 1.372 1.725
```

Please write out number 7 again, unchanged.
The following is a DFT calculation (GGA-PBE) of a relaxed structure of Ca6Ag2Pb.

Space-group type = Immm, No. 71
Size of the total moment = 0.000 Bohr magnetons per cell
Final energy = -2.71 eV per atom

extended XYZ file:
```
18
Lattice="-2.068 -3.629 -8.048 7.673 -3.250 3.574 -6.457 -2.011 6.040" Properties=species:S:1:pos:R:3 pbc="T T T"
Ca 0.020 -2.973 -1.629
Ag -5.542 -3.666 -1.306
Ca -0.776 -5.106 6.880
Ca -0.076 -3.784 -5.314
Ca 2.056 -3.770 1.861
Ca -1.401 -2.400 1.935
Ca 2.468 -5.550 5.114
Ca 0.550 -6.490 -0.369
Ag 2.959 -4.114 -1.004
Ca -3.319 -3.340 -3.547
Ag -3.810 -4.776 2.570
Ca -3.315 -2.919 5.146
Ca -2.908 -5.120 -0.295
Pb 0.608 -2.631 4.807
Ca -0.871 -5.918 3.196
Pb 0.000 0.000 0.000
Ag -2.983 -1.973 -0.703
Ca 2.463 -5.972 -3.580
```